#w
TaTe2Br after structural relaxation, computed with GGA-PBE.

a = 3.2625 Å, b = 3.2625 Å, c = 10.5725 Å
α = 90.00°, β = 90.00°, γ = 90.00°
Fractional coordinates of all 4 atoms:
Ta 0.0000 0.0000 0.0000
Te 0.0000 0.0000 0.4882
Te 0.5000 0.5000 0.1594
Br 0.5000 0.5000 0.8392


#x
TaTe2Br after structural relaxation, computed with GGA-PBE.

a = 3.4126 Å, b = 3.4126 Å, c = 32.3441 Å
α = 90.00°, β = 90.00°, γ = 120.00°
Fractional coordinates of all 12 atoms:
Ta 0.0000 0.0000 0.0000
Ta 0.3333 0.6667 0.6667
Ta 0.6667 0.3333 0.3333
Te 0.0000 0.0000 0.5036
Te 0.0000 0.0000 0.7275
Te 0.3333 0.6667 0.1703
Te 0.3333 0.6667 0.3942
Te 0.6667 0.3333 0.0609
Te 0.6667 0.3333 0.8370
Br 0.0000 0.0000 0.2767
Br 0.3333 0.6667 0.9433
Br 0.6667 0.3333 0.6100


#y
TaTe2Br after structural relaxation, computed with GGA-PBE.

a = 3.1334 Å, b = 3.1334 Å, c = 38.5030 Å
α = 90.00°, β = 90.00°, γ = 120.00°
Fractional coordinates of all 12 atoms:
Ta 0.0000 0.0000 0.0000
Ta 0.3333 0.6667 0.6667
Ta 0.6667 0.3333 0.3333
Te 0.0000 0.0000 0.0738
Te 0.0000 0.0000 0.9262
Te 0.3333 0.6667 0.5929
Te 0.3333 0.6667 0.7404
Te 0.6667 0.3333 0.2596
Te 0.6667 0.3333 0.4071
Br 0.0000 0.0000 0.5000
Br 0.3333 0.6667 0.1667
Br 0.6667 0.3333 0.8333


#z
TaTe2Br after structural relaxation, computed with GGA-PBE.

a = 4.3343 Å, b = 4.3343 Å, c = 5.3109 Å
α = 90.00°, β = 90.00°, γ = 90.00°
Fractional coordinates of all 4 atoms:
Ta 0.0000 0.0000 0.0000
Te 0.0000 0.5000 0.5000
Te 0.5000 0.0000 0.5000
Br 0.5000 0.5000 0.0000


Tell me which of them is the least stable. Sure, it is #z.


#w
TaTe2Br after structural relaxation, computed with GGA-PBE.

a = 3.4718 Å, b = 5.1149 Å, c = 5.2468 Å
α = 90.00°, β = 90.00°, γ = 90.00°
Fractional coordinates of all 4 atoms:
Ta 0.0000 0.0000 0.0000
Te 0.0000 0.5000 0.5000
Te 0.5000 0.0000 0.5000
Br 0.5000 0.5000 0.0000


#x
TaTe2Br after structural relaxation, computed with GGA-PBE.

a = 7.0676 Å, b = 3.3802 Å, c = 7.1922 Å
α = 90.00°, β = 118.66°, γ = 90.00°
Fractional coordinates of all 4 atoms:
Ta 0.0000 0.0000 0.0000
Te 0.6501 0.0000 0.6410
Te 0.9574 0.5000 0.2729
Br 0.2615 0.5000 0.9600


Tell me which of them is the least stable. Sure, it is #w.


#w
TaTe2Br after structural relaxation, computed with GGA-PBE.

a = 6.7928 Å, b = 8.2133 Å, c = 3.5994 Å
α = 90.00°, β = 107.44°, γ = 90.00°
Fractional coordinates of all 8 atoms:
Ta 0.0000 0.0000 0.0000
Ta 0.5000 0.5000 0.0000
Te 0.2500 0.2500 0.5000
Te 0.2500 0.7500 0.5000
Te 0.7500 0.2500 0.5000
Te 0.7500 0.7500 0.5000
Br 0.0000 0.5000 0.0000
Br 0.5000 0.0000 0.0000


#x
TaTe2Br after structural relaxation, computed with GGA-PBE.

a = 5.3584 Å, b = 5.3584 Å, c = 3.2762 Å
α = 90.00°, β = 90.00°, γ = 90.00°
Fractional coordinates of all 4 atoms:
Ta 0.0000 0.0000 0.0000
Te 0.0000 0.5000 0.5000
Te 0.5000 0.0000 0.5000
Br 0.5000 0.5000 0.0000


Tell me which of them is the least stable. Sure, it is #x.


#w
TaTe2Br after structural relaxation, computed with GGA-PBE.

a = 7.1550 Å, b = 7.1550 Å, c = 7.1550 Å
α = 90.00°, β = 90.00°, γ = 90.00°
Fractional coordinates of all 16 atoms:
Ta 0.0000 0.0000 0.0000
Ta 0.0000 0.5000 0.5000
Ta 0.5000 0.0000 0.5000
Ta 0.5000 0.5000 0.0000
Te 0.0000 0.0000 0.5000
Te 0.0000 0.5000 0.0000
Te 0.2500 0.2500 0.7500
Te 0.2500 0.7500 0.2500
Te 0.5000 0.0000 0.0000
Te 0.5000 0.5000 0.5000
Te 0.7500 0.2500 0.2500
Te 0.7500 0.7500 0.7500
Br 0.2500 0.2500 0.2500
Br 0.2500 0.7500 0.7500
Br 0.7500 0.2500 0.7500
Br 0.7500 0.7500 0.2500


#x
TaTe2Br after structural relaxation, computed with GGA-PBE.

a = 13.6053 Å, b = 3.3144 Å, c = 7.5183 Å
α = 90.00°, β = 120.22°, γ = 90.00°
Fractional coordinates of all 8 atoms:
Ta 0.0000 0.0000 0.0000
Ta 0.5000 0.5000 0.0000
Te 0.0053 0.5000 0.2999
Te 0.3400 0.0000 0.6976
Te 0.5053 0.0000 0.2999
Te 0.8400 0.5000 0.6976
Br 0.1506 0.5000 0.0025
Br 0.6506 0.0000 0.0025


Tell me which of them is the least stable. Sure, it is #w.


#w
TaTe2Br after structural relaxation, computed with GGA-PBE.

a = 3.5006 Å, b = 3.4706 Å, c = 8.4081 Å
α = 90.00°, β = 99.49°, γ = 90.00°
Fractional coordinates of all 4 atoms:
Ta 0.0000 0.0000 0.0000
Te 0.4303 0.5000 0.8038
Te 0.5697 0.5000 0.1962
Br 0.0000 0.0000 0.5000


#x
TaTe2Br after structural relaxation, computed with GGA-PBE.

a = 4.0768 Å, b = 8.9017 Å, c = 8.6327 Å
α = 90.00°, β = 90.28°, γ = 90.00°
Fractional coordinates of all 8 atoms:
Ta 0.2504 0.0000 0.0339
Ta 0.7496 0.5000 0.9661
Te 0.2490 0.6948 0.8958
Te 0.2529 0.8722 0.2987
Te 0.7471 0.3722 0.7013
Te 0.7510 0.1948 0.1042
Br 0.2478 0.0459 0.7446
Br 0.7522 0.5459 0.2554


Tell me which of them is the least stable. Sure, it is #w.


#w
Ta2TiBr after structural relaxation, computed with GGA-PBE.

a = 6.6092 Å, b = 6.6092 Å, c = 6.6092 Å
α = 90.00°, β = 90.00°, γ = 90.00°
Fractional coordinates of all 16 atoms:
Ta 0.2500 0.2500 0.2500
Ta 0.2500 0.2500 0.7500
Ta 0.2500 0.7500 0.2500
Ta 0.2500 0.7500 0.7500
Ta 0.7500 0.2500 0.2500
Ta 0.7500 0.2500 0.7500
Ta 0.7500 0.7500 0.2500
Ta 0.7500 0.7500 0.7500
Ti 0.0000 0.0000 0.0000
Ti 0.0000 0.5000 0.5000
Ti 0.5000 0.0000 0.5000
Ti 0.5000 0.5000 0.0000
Br 0.0000 0.0000 0.5000
Br 0.0000 0.5000 0.0000
Br 0.5000 0.0000 0.0000
Br 0.5000 0.5000 0.5000


#x
Ta2TiBr after structural relaxation, computed with GGA-PBE.

a = 3.9217 Å, b = 3.9217 Å, c = 20.1461 Å
α = 90.00°, β = 90.00°, γ = 90.00°
Fractional coordinates of all 16 atoms:
Ta 0.2438 0.2500 0.1250
Ta 0.2500 0.7438 0.3750
Ta 0.2500 0.7562 0.8750
Ta 0.2562 0.2500 0.6250
Ta 0.7438 0.7500 0.6250
Ta 0.7500 0.2438 0.8750
Ta 0.7500 0.2562 0.3750
Ta 0.7562 0.7500 0.1250
Ti 0.0000 0.0000 0.0000
Ti 0.0000 0.5000 0.2500
Ti 0.5000 0.0000 0.7500
Ti 0.5000 0.5000 0.5000
Br 0.0000 0.0000 0.5000
Br 0.0000 0.5000 0.7500
Br 0.5000 0.0000 0.2500
Br 0.5000 0.5000 0.0000


Tell me which of them is the least stable. Sure, it is #w.


#w
TaTi3Br after structural relaxation, computed with GGA-PBE.

a = 4.9432 Å, b = 4.9432 Å, c = 4.9432 Å
α = 90.00°, β = 90.00°, γ = 90.00°
Fractional coordinates of all 5 atoms:
Ta 0.0000 0.0000 0.0000
Ti 0.0000 0.0000 0.5000
Ti 0.0000 0.5000 0.0000
Ti 0.5000 0.0000 0.0000
Br 0.5000 0.5000 0.5000


#x
TaTi3Br after structural relaxation, computed with GGA-PBE.

a = 4.6013 Å, b = 4.6013 Å, c = 4.6013 Å
α = 90.00°, β = 90.00°, γ = 90.00°
Fractional coordinates of all 5 atoms:
Ta 0.0000 0.0000 0.0000
Ti 0.0000 0.5000 0.5000
Ti 0.5000 0.0000 0.5000
Ti 0.5000 0.5000 0.0000
Br 0.5000 0.5000 0.5000


Tell me which of them is the least stable. Sure, it is #w.


#w
Ta2TlBr after structural relaxation, computed with GGA-PBE.

a = 3.0630 Å, b = 5.0884 Å, c = 5.3766 Å
α = 90.00°, β = 90.00°, γ = 90.00°
Fractional coordinates of all 4 atoms:
Ta 0.0000 0.0000 0.0000
Ta 0.5000 0.0000 0.5000
Tl 0.0000 0.5000 0.5000
Br 0.5000 0.5000 0.0000


#x
Ta2TlBr after structural relaxation, computed with GGA-PBE.

a = 4.8406 Å, b = 3.0270 Å, c = 11.5662 Å
α = 90.00°, β = 90.00°, γ = 90.00°
Fractional coordinates of all 8 atoms:
Ta 0.0000 0.0000 0.0000
Ta 0.0000 0.5000 0.5000
Ta 0.5000 0.0000 0.3983
Ta 0.5000 0.5000 0.8983
Tl 0.5000 0.0000 0.6507
Tl 0.5000 0.5000 0.1507
Br 0.0000 0.0000 0.3119
Br 0.0000 0.5000 0.8119


#y
Ta2TlBr after structural relaxation, computed with GGA-PBE.

a = 3.1896 Å, b = 4.9894 Å, c = 11.8397 Å
α = 90.00°, β = 90.00°, γ = 90.00°
Fractional coordinates of all 8 atoms:
Ta 0.0000 0.0000 0.0000
Ta 0.0000 0.5000 0.3254
Ta 0.5000 0.0000 0.8254
Ta 0.5000 0.5000 0.5000
Tl 0.0000 0.5000 0.8438
Tl 0.5000 0.0000 0.3438
Br 0.0000 0.0000 0.6171
Br 0.5000 0.5000 0.1171


Tell me which of them is the least stable. Sure, it is #w.


#w
TaTlBr4 after structural relaxation, computed with GGA-PBE.

a = 8.8394 Å, b = 8.8394 Å, c = 6.1046 Å
α = 94.68°, β = 94.68°, γ = 85.78°
Fractional coordinates of all 12 atoms:
Ta 0.2230 0.7770 0.7500
Ta 0.7770 0.2230 0.2500
Tl 0.1715 0.8285 0.2500
Tl 0.8285 0.1715 0.7500
Br 0.0601 0.2282 0.3048
Br 0.2282 0.0601 0.8048
Br 0.2519 0.5188 0.8875
Br 0.4812 0.7481 0.6125
Br 0.5188 0.2519 0.3875
Br 0.7481 0.4812 0.1125
Br 0.7718 0.9399 0.1952
Br 0.9399 0.7718 0.6952


#x
TaTlBr4 after structural relaxation, computed with GGA-PBE.

a = 6.3346 Å, b = 6.3346 Å, c = 6.3346 Å
α = 60.00°, β = 60.00°, γ = 60.00°
Fractional coordinates of all 6 atoms:
Ta 0.0000 0.0000 0.0000
Tl 0.7500 0.7500 0.7500
Br 0.3737 0.3737 0.3737
Br 0.3737 0.3737 0.8790
Br 0.3737 0.8790 0.3737
Br 0.8790 0.3737 0.3737


Tell me which of them is the least stable. Sure, it is #x.


#w
TaTlBr6 after structural relaxation, computed with GGA-PBE.

a = 7.3595 Å, b = 7.3595 Å, c = 11.2828 Å
α = 90.16°, β = 90.16°, γ = 76.64°
Fractional coordinates of all 16 atoms:
Ta 0.0000 0.5000 0.0000
Ta 0.5000 0.0000 0.5000
Tl 0.0173 0.9827 0.7500
Tl 0.9827 0.0173 0.2500
Br 0.1216 0.5421 0.2062
Br 0.1635 0.1946 0.4986
Br 0.1946 0.1635 0.9986
Br 0.2711 0.6085 0.9110
Br 0.3915 0.7289 0.5890
Br 0.4579 0.8784 0.2938
Br 0.5421 0.1216 0.7062
Br 0.6085 0.2711 0.4110
Br 0.7289 0.3915 0.0890
Br 0.8054 0.8365 0.0014
Br 0.8365 0.8054 0.5014
Br 0.8784 0.4579 0.7938


#x
TaTlBr6 after structural relaxation, computed with GGA-PBE.

a = 7.9084 Å, b = 7.9084 Å, c = 7.9084 Å
α = 55.25°, β = 55.25°, γ = 55.25°
Fractional coordinates of all 8 atoms:
Ta 0.0000 0.0000 0.0000
Tl 0.5000 0.5000 0.5000
Br 0.0895 0.0895 0.6016
Br 0.0895 0.6016 0.0895
Br 0.3984 0.9105 0.9105
Br 0.6016 0.0895 0.0895
Br 0.9105 0.3984 0.9105
Br 0.9105 0.9105 0.3984


Tell me which of them is the least stable. Sure, it is #x.


#w
Ta2VBr after structural relaxation, computed with GGA-PBE.

a = 6.5156 Å, b = 6.5156 Å, c = 6.5156 Å
α = 90.00°, β = 90.00°, γ = 90.00°
Fractional coordinates of all 16 atoms:
Ta 0.2500 0.2500 0.2500
Ta 0.2500 0.2500 0.7500
Ta 0.2500 0.7500 0.2500
Ta 0.2500 0.7500 0.7500
Ta 0.7500 0.2500 0.2500
Ta 0.7500 0.2500 0.7500
Ta 0.7500 0.7500 0.2500
Ta 0.7500 0.7500 0.7500
V 0.0000 0.0000 0.0000
V 0.0000 0.5000 0.5000
V 0.5000 0.0000 0.5000
V 0.5000 0.5000 0.0000
Br 0.0000 0.0000 0.5000
Br 0.0000 0.5000 0.0000
Br 0.5000 0.0000 0.0000
Br 0.5000 0.5000 0.5000


#x
Ta2VBr after structural relaxation, computed with GGA-PBE.

a = 3.9212 Å, b = 3.9212 Å, c = 19.7789 Å
α = 90.00°, β = 90.00°, γ = 90.00°
Fractional coordinates of all 16 atoms:
Ta 0.2443 0.2500 0.1250
Ta 0.2500 0.7443 0.3750
Ta 0.2500 0.7557 0.8750
Ta 0.2557 0.2500 0.6250
Ta 0.7443 0.7500 0.6250
Ta 0.7500 0.2443 0.8750
Ta 0.7500 0.2557 0.3750
Ta 0.7557 0.7500 0.1250
V 0.0000 0.0000 0.0000
V 0.0000 0.5000 0.2500
V 0.5000 0.0000 0.7500
V 0.5000 0.5000 0.5000
Br 0.0000 0.0000 0.5000
Br 0.0000 0.5000 0.7500
Br 0.5000 0.0000 0.2500
Br 0.5000 0.5000 0.0000


Tell me which of them is the least stable. Sure, it is #x.


#w
TaVBr2 after structural relaxation, computed with GGA-PBE.

a = 3.1547 Å, b = 3.1547 Å, c = 26.4844 Å
α = 90.00°, β = 90.00°, γ = 120.00°
Fractional coordinates of all 12 atoms:
Ta 0.0000 0.0000 0.0000
Ta 0.3333 0.6667 0.6667
Ta 0.6667 0.3333 0.3333
V 0.0000 0.0000 0.5000
V 0.3333 0.6667 0.1667
V 0.6667 0.3333 0.8333
Br 0.0000 0.0000 0.0996
Br 0.0000 0.0000 0.9004
Br 0.3333 0.6667 0.5671
Br 0.3333 0.6667 0.7662
Br 0.6667 0.3333 0.2338
Br 0.6667 0.3333 0.4329


#x
TaVBr2 after structural relaxation, computed with GGA-PBE.

a = 6.5752 Å, b = 6.5752 Å, c = 6.5752 Å
α = 90.00°, β = 90.00°, γ = 90.00°
Fractional coordinates of all 16 atoms:
Ta 0.0000 0.0000 0.0000
Ta 0.0000 0.5000 0.5000
Ta 0.5000 0.0000 0.5000
Ta 0.5000 0.5000 0.0000
V 0.0000 0.0000 0.5000
V 0.0000 0.5000 0.0000
V 0.5000 0.0000 0.0000
V 0.5000 0.5000 0.5000
Br 0.2500 0.2500 0.2500
Br 0.2500 0.2500 0.7500
Br 0.2500 0.7500 0.2500
Br 0.2500 0.7500 0.7500
Br 0.7500 0.2500 0.2500
Br 0.7500 0.2500 0.7500
Br 0.7500 0.7500 0.2500
Br 0.7500 0.7500 0.7500


Tell me which of them is the least stable. Sure, it is #x.